VASP calculation (PBE) on an optimized crystal structure of HfPa2Fe9.

Values from the calculation:
- space group = R-3m
- E (eV/atom) = -8.89

a b c (Å): 4.7849 4.7849 8.8204
angles (deg): 74.26 74.26 60.00
Closest atoms and distances in Å follow each position.
Positions (direct):
Hf  0.0000  0.0000  0.0000  6 Fe 2.76
Pa  0.8585  0.8585  0.4244  12 Fe 2.83-3.16, 3 Pa 3.04
Pa  0.1415  0.1415  0.5756  12 Fe 2.83-3.16, 3 Pa 3.04
Fe  0.6668  0.6668  0.9995  6 Fe 2.42
Fe  0.3332  0.3332  0.0005  6 Fe 2.42
Fe  0.5000  0.5000  0.5000  6 Fe 2.60, 6 Pa 2.83
Fe  0.4214  0.4214  0.2368  7 Fe 2.39-2.60
Fe  0.9203  0.4214  0.2368  7 Fe 2.39-2.60
Fe  0.4214  0.9203  0.2368  7 Fe 2.39-2.60
Fe  0.5786  0.5786  0.7632  7 Fe 2.39-2.60
Fe  0.5786  0.0797  0.7632  7 Fe 2.39-2.60
Fe  0.0797  0.5786  0.7632  7 Fe 2.39-2.60